# 1
Pm2Sb7Rh12 | PBE | optimized geometry

extended XYZ file:
```
21
Lattice="10.532 0.000 0.000 -5.266 9.121 0.000 0.000 0.000 4.101" Properties=species:S:1:pos:R:3 pbc="T T T"
Pm 0.000 6.081 1.007
Pm 5.266 3.040 3.093
Sb 0.000 0.000 2.050
Sb -2.542 6.472 3.062
Sb 0.932 3.684 3.062
Sb 3.656 1.035 1.038
Sb 1.610 8.086 3.062
Sb 4.334 5.437 1.038
Sb 7.808 2.649 1.038
Rh -1.666 4.035 3.078
Rh -0.136 2.408 0.999
Rh -3.113 8.035 0.999
Rh 2.017 1.322 3.101
Rh -0.938 8.546 3.078
Rh 2.662 3.460 1.023
Rh 2.604 5.661 3.078
Rh 6.204 0.575 1.023
Rh 3.249 7.799 0.999
Rh 8.379 1.086 3.101
Rh 5.402 6.713 3.101
Rh 6.932 5.086 1.023
```

Summary:
The uncorrected formation energy comes out at -12.326 eV/f.u. The calculation puts the density of states at the Fermi level at 17.60 states/eV/f.u.

=====

# 2
PmSb3Rh3 | PBE | optimized geometry

extended XYZ file:
```
14
Lattice="7.128 0.000 0.000 0.000 7.128 0.000 0.000 0.000 7.128" Properties=species:S:1:pos:R:3 pbc="T T T"
Pm 0.000 0.000 0.000
Pm 3.564 3.564 3.564
Sb 0.000 1.782 3.564
Sb 0.000 5.346 3.564
Sb 1.782 3.564 0.000
Sb 3.564 0.000 1.782
Sb 3.564 0.000 5.346
Sb 5.346 3.564 0.000
Rh 0.000 3.564 1.782
Rh 0.000 3.564 5.346
Rh 1.782 0.000 3.564
Rh 3.564 1.782 0.000
Rh 3.564 5.346 0.000
Rh 5.346 0.000 3.564
```

Summary:
The uncorrected formation energy comes out at -1.438 eV/f.u. The calculation puts the density of states at the Fermi level at 6.12 states/eV/f.u.

=====

# 3
PmSb3Rh5 | PBE | optimized geometry

extended XYZ file:
```
18
Lattice="2.010 -6.892 0.000 2.010 6.892 0.000 0.000 0.000 13.230" Properties=species:S:1:pos:R:3 pbc="T T T"
Pm 2.010 5.490 9.923
Pm 2.010 -5.490 3.308
Sb 2.010 5.113 3.308
Sb 2.010 1.674 0.525
Sb 2.010 1.674 6.090
Sb 2.010 -1.674 7.140
Sb 2.010 -1.674 12.706
Sb 2.010 -5.113 9.923
Rh 0.000 0.000 0.000
Rh 0.000 0.000 6.615
Rh 2.010 4.190 0.890
Rh 2.010 4.190 5.725
Rh 2.010 0.591 8.546
Rh 2.010 0.591 11.300
Rh 2.010 -0.591 1.930
Rh 2.010 -0.591 4.685
Rh 2.010 -4.190 7.506
Rh 2.010 -4.190 12.340
```

Summary:
The uncorrected formation energy comes out at -4.694 eV/f.u. The calculation puts the density of states at the Fermi level at 3.94 states/eV/f.u.